Density functional theory data (PBE) for a relaxed LiPtRh crystal.

symmetry: Imm2
energy above the lowest structure with this stoichiometry: 0.0 meV per atom
V: 14.06 Å³/atom
E_tot: -15.93 eV per formula unit
calculated formation energy: -0.209 eV per atom
magnetization: 0.01 μB/cell
DOS(E_F): 3.72 states/eV per cell

```
3
Lattice="-1.356 1.971 3.945 1.356 -1.971 3.945 1.356 1.971 -3.945" Properties=species:S:1:pos:R:3 pbc="T T T"
Li 0.000 0.000 0.000
Pt 0.000 0.000 5.256
Rh 0.000 0.000 2.611
```



Density functional theory data (PBE) for a relaxed K4RuO5 crystal.

symmetry: I4
V: 18.42 Å³/atom
E_tot: -51.28 eV per formula unit
magnetization: 2.00 μB/cell
DOS(E_F): 7.31 states/eV per cell

```
10
Lattice="-4.087 4.087 2.758 4.087 -4.087 2.758 4.087 4.087 -2.758" Properties=species:S:1:pos:R:3 pbc="T T T"
K 5.754 0.872 0.000
K 0.872 2.420 0.000
K 3.215 1.667 2.758
K -1.667 3.215 2.758
Ru 0.000 0.000 2.456
O 0.000 0.000 0.638
O 3.521 2.279 0.077
O 1.808 -0.566 2.835
O 2.279 4.653 0.077
O 0.566 1.808 2.835
```